Below is a geometry-optimized MgZnIn structure, with properties calculated at the PBE level.

a = 4.832 Å, b = 4.832 Å, c = 3.124 Å
α = 90.00°, β = 90.00°, γ = 120.00°
Fractional coordinates of all 3 atoms:
Zn: 0.333 0.667 0.833
Mg: 0.667 0.333 0.333
In: 0.000 0.000 0.834

Summary:
The value obtained for the calculated volume is 63 Å³/cell. The space group is P-6m2 (187). As for the formation energy: -24 meV/atom.